Density functional theory data (PBE with a Hubbard U) for crystalline CoO at its relaxed geometry.

a b c (Å): 5.624 5.624 3.268
angles (deg): 90.00 90.00 90.00
Positions (direct):
Co  0.182  0.182  0.000
Co  0.318  0.682  0.500
Co  0.682  0.318  0.500
Co  0.818  0.818  0.000
O  0.179  0.821  0.000
O  0.321  0.321  0.500
O  0.679  0.679  0.500
O  0.821  0.179  0.000

Calculated values
The final energy comes out at -6.018 eV/atom.